No. 1
Density functional theory data (PBE) for a geometry-optimized ScTa2Re structure.

Computed properties:
Density = 13.39 Mg/m³
Offset from the most stable computed form = 1.57 kcal/mol of atoms
Energy relative to the elements = -27 meV per atom
V = 18.4 A^3/atom

abc: 3.198 3.198 7.192
angles: 90.00 90.00 90.00
Fractional positions:
Re  0.500  0.500  0.250
Sc  0.500  0.500  0.750
Ta  0.000  0.000  0.034
Ta  0.000  0.000  0.466


No. 2
Density functional theory data (PBE) for a geometry-optimized LaPtBr3 structure.

Computed properties:
Density = 6.73 Mg/m³
V = 28.3 A^3/atom
Formation energy (no corrections) = -0.51 eV per atom

abc: 5.213 5.213 5.213
angles: 90.00 90.00 90.00
Each line ends with the local moment (μB).
Fractional positions:
Br  0.000  0.500  0.000  0.00
Br  0.000  0.000  0.500  0.00
Br  0.500  0.000  0.000  0.00
Pt  0.000  0.000  0.000  0.00
La  0.500  0.500  0.500  0.42


Number 1: total moment 0.0 Bohr magnetons per cell. Number 2: total moment 0.6 Bohr magnetons per cell.